Computed, not measured: a relaxed Mn2CrRe crystal at the GGA-PBE level of DFT.

```
Mn2CrRe
1.0
-1.481 2.073 4.101
1.481 -2.073 4.101
1.481 2.073 -4.101
Mn Cr Re
2 1 1
direct
0.000 0.000 0.000
0.745 0.245 0.500
0.505 0.505 0.000
0.258 0.758 0.500
```

Summary:
As for the density of states at the Fermi level: 4.29 states/eV/f.u. As for the energy of formation: 0.101 eV per atom. Its total energy is -10.002 eV/atom.

Computed, not measured: a relaxed MnCrRe2 crystal at the GGA-PBE level of DFT.

```
MnCrRe2
1.0
3.087 0.000 0.000
0.000 4.171 0.000
0.000 0.000 4.266
Mn Cr Re
1 1 2
direct
0.000 0.000 0.000
0.500 0.000 0.500
0.000 0.500 0.500
0.500 0.500 0.000
```

Summary:
As for the density of states at the Fermi level: 4.17 states/eV/f.u. As for the energy of formation: 0.112 eV per atom. Its total energy is -10.810 eV/atom.

Computed, not measured: a relaxed Mn2CrRe crystal at the GGA-PBE level of DFT.

```
Mn2CrRe
1.0
3.711 0.000 0.000
0.000 3.711 0.000
0.000 0.000 3.602
Mn Cr Re
2 1 1
direct
0.000 0.500 0.000
0.500 0.000 0.000
0.000 0.000 0.500
0.500 0.500 0.500
```

Summary:
As for the density of states at the Fermi level: 5.52 states/eV/f.u. As for the energy of formation: 0.126 eV per atom. Its total energy is -9.977 eV/atom.

Computed, not measured: a relaxed MnCrRe crystal at the GGA-PBE level of DFT.

```
MnCrRe
1.0
-1.437 1.437 4.541
1.437 -1.437 4.541
1.437 1.437 -4.541
Mn Cr Re
1 1 1
direct
0.000 0.000 0.000
0.363 0.363 0.000
0.684 0.684 0.000
```

Summary:
As for the density of states at the Fermi level: 3.85 states/eV/f.u. As for the energy of formation: 0.098 eV per atom. Its total energy is -10.316 eV/atom.

Computed, not measured: a relaxed Mn2CrRe crystal at the GGA-PBE level of DFT.

```
Mn2CrRe
1.0
0.000 2.922 2.922
2.922 0.000 2.922
2.922 2.922 0.000
Mn Cr Re
2 1 1
direct
0.000 0.000 0.000
0.250 0.250 0.250
0.500 0.500 0.500
0.750 0.750 0.750
```

Summary:
As for the density of states at the Fermi level: 4.08 states/eV/f.u. As for the energy of formation: 0.053 eV per atom. Its total energy is -10.049 eV/atom.

Computed, not measured: a relaxed MnCrRe2 crystal at the GGA-PBE level of DFT.

```
MnCrRe2
1.0
2.690 -3.722 0.000
2.690 3.722 0.000
0.000 0.000 2.676
Mn Cr Re
1 1 2
direct
0.000 0.000 0.000
0.500 0.500 0.000
0.000 0.500 0.500
0.500 0.000 0.500
```

Summary:
As for the density of states at the Fermi level: 3.78 states/eV/f.u. As for the energy of formation: 0.135 eV per atom. Its total energy is -10.787 eV/atom.

Computed, not measured: a relaxed MnCr5Re2 crystal at the GGA-PBE level of DFT.

```
MnCr5Re2
1.0
-2.058 2.058 5.860
2.058 -2.058 5.860
2.058 2.058 -5.860
Mn Cr Re
1 5 2
direct
0.000 0.000 0.000
0.117 0.617 0.500
0.383 0.883 0.500
0.500 0.500 0.000
0.617 0.117 0.500
0.883 0.383 0.500
0.249 0.249 0.000
0.751 0.751 0.000
```

Summary:
As for the density of states at the Fermi level: 10.31 states/eV/f.u. As for the energy of formation: 0.044 eV per atom. Its total energy is -10.229 eV/atom.

Computed, not measured: a relaxed MnCrRe2 crystal at the GGA-PBE level of DFT.

```
MnCrRe2
1.0
1.367 0.789 8.502
-1.367 0.789 8.502
0.000 -1.579 8.502
Mn Cr Re
1 1 2
direct
0.000 0.000 0.000
0.500 0.500 0.500
0.249 0.249 0.249
0.751 0.751 0.751
```

Summary:
As for the density of states at the Fermi level: 3.76 states/eV/f.u. As for the energy of formation: 0.201 eV per atom. Its total energy is -10.722 eV/atom.

Computed, not measured: a relaxed Mn2CrRe crystal at the GGA-PBE level of DFT.

```
Mn2CrRe
1.0
-1.495 2.057 4.055
1.495 -2.057 4.055
1.495 2.057 -4.055
Mn Cr Re
2 1 1
direct
0.244 0.244 0.000
0.756 0.756 0.000
0.000 0.500 0.500
0.500 0.000 0.500
```

Summary:
As for the density of states at the Fermi level: 4.46 states/eV/f.u. As for the energy of formation: 0.064 eV per atom. Its total energy is -10.039 eV/atom.

Computed, not measured: a relaxed Mn2CrRe crystal at the GGA-PBE level of DFT.

```
Mn2CrRe
1.0
-1.818 1.818 3.720
1.818 -1.818 3.720
1.818 1.818 -3.720
Mn Cr Re
2 1 1
direct
0.000 0.000 0.000
0.750 0.250 0.500
0.500 0.500 0.000
0.250 0.750 0.500
```

Summary:
As for the density of states at the Fermi level: 5.35 states/eV/f.u. As for the energy of formation: 0.142 eV per atom. Its total energy is -9.960 eV/atom.

Computed, not measured: a relaxed MnCrRe2 crystal at the GGA-PBE level of DFT.

```
MnCrRe2
1.0
3.028 0.000 0.000
0.000 3.028 0.000
0.000 0.000 5.860
Mn Cr Re
1 1 2
direct
0.000 0.000 0.000
0.000 0.000 0.500
0.500 0.500 0.251
0.500 0.500 0.749
```

Summary:
As for the density of states at the Fermi level: 5.48 states/eV/f.u. As for the energy of formation: 0.089 eV per atom. Its total energy is -10.833 eV/atom.

Computed, not measured: a relaxed MnCrRe crystal at the GGA-PBE level of DFT.

```
MnCrRe
1.0
4.178 0.000 0.000
-2.089 3.618 0.000
0.000 0.000 2.563
Mn Cr Re
1 1 1
direct
0.000 0.000 0.000
0.333 0.667 0.673
0.667 0.333 0.364
```

Summary:
As for the density of states at the Fermi level: 3.29 states/eV/f.u. As for the energy of formation: 0.075 eV per atom. Its total energy is -10.339 eV/atom.